Entry 1:
Below is crystalline SrIn3B at its relaxed geometry, with properties calculated at the GGA-PBE level.

Geometry as POSCAR:
```
SrIn3B
1.0
-0.892 5.903 -1.704
-3.625 0.885 4.962
4.961 1.708 3.320
B In Sr
1 3 1
Cartesian
0.222 4.248 3.289
-0.446 2.952 -0.852
-1.813 0.442 2.481
2.480 0.854 1.660
0.000 0.000 0.000
```

Calculated values
The raw total energy comes out at -1.64 eV per atom. Its distance to the lowest polymorph of the same formula is 1369 meV/atom. The calculation puts the formation energy at 1.68 eV per atom. The density of states at the Fermi level is 0.99 states/eV/atom.



Entry 2:
Below is crystalline SrVIn2B at its relaxed geometry, with properties calculated at the GGA-PBE level.

Geometry as POSCAR:
```
SrVIn2B
1.0
4.721 0.000 0.000
0.000 5.203 0.000
0.000 0.000 4.721
V In Sr B
1 2 1 1
Cartesian
2.360 2.601 2.360
2.360 0.000 0.000
0.000 0.000 2.360
0.000 2.601 0.000
0.000 0.000 0.000
```

Calculated values
The raw total energy comes out at -3.62 eV per atom. The calculation puts the formation energy at 0.97 eV per atom. The density of states at the Fermi level is 1.51 states/eV/atom.